# 1
The following is a DFT calculation (PBE-GGA) of a relaxed CsBaLaCr crystal.

Output
As for the crystal system: monoclinic. The value obtained for the total energy is -3.84 eV per atom.

Cell lengths 4.0107, 4.0122, 11.6427 Å; angles 90.00, 90.22, 90.00 degrees
Closest atoms and distances in Å follow each position.
Positions (direct):
Cs1 0.0000 0.0000 0.0000  4 Cs 4.01
Ba1 0.5103 0.5000 0.6350  4 Cr 3.59-3.60, 1 La 3.73, 4 Ba 4.01
La1 0.5077 0.5000 0.3145  4 Cr 3.22
Cr1 0.0091 0.0000 0.4453  4 La 3.22, 4 Ba 3.59-3.60

# 2
The following is a DFT calculation (PBE-GGA) of a relaxed Tb2MgIr crystal.

Output
As for the crystal system: tetragonal. The value obtained for the total energy is -5.41 eV per atom.

Cell lengths 3.5611, 3.5611, 7.6364 Å; angles 90.00, 90.00, 90.00 degrees
Closest atoms and distances in Å follow each position.
Positions (direct):
Tb1 0.0000 0.0000 0.2103  4 Ir 2.99, 1 Tb 3.21
Tb2 0.0000 0.0000 0.7897  4 Ir 2.99, 1 Tb 3.21
Mg1 0.5000 0.5000 0.5000  8 Tb 3.35, 4 Mg 3.56
Ir1 0.5000 0.5000 0.0000  8 Tb 2.99

# 3
The following is a DFT calculation (PBE-GGA) of a relaxed Nd5SmSb6 crystal.

Output
As for the crystal system: monoclinic. The value obtained for the total energy is -5.63 eV per atom. The value obtained for the raw formation energy is -1.187 eV per atom.

Cell lengths 7.8226, 7.8226, 7.8227 Å; angles 99.60, 99.60, 120.00 degrees
Closest atoms and distances in Å follow each position.
Positions (direct):
Nd1 0.0000 0.0000 0.0000  6 Sb 3.19-3.21
Nd2 0.1665 0.8335 0.5000  6 Sb 3.19
Nd3 0.3327 0.6673 0.0000  6 Sb 3.19-3.20
Nd4 0.6673 0.3327 0.0000  6 Sb 3.19-3.20
Nd5 0.8335 0.1665 0.5000  6 Sb 3.19
Sm1 0.5000 0.5000 0.5000  6 Sb 3.18
Sb1 0.0855 0.4171 0.2513  1 Sm 3.18, 5 Nd 3.19-3.20
Sb2 0.2516 0.2516 0.7492  1 Sm 3.18, 5 Nd 3.19-3.21
Sb3 0.4171 0.0855 0.2513  1 Sm 3.18, 5 Nd 3.19-3.20
Sb4 0.5829 0.9145 0.7487  1 Sm 3.18, 5 Nd 3.19-3.20
Sb5 0.7484 0.7484 0.2508  1 Sm 3.18, 5 Nd 3.19-3.21
Sb6 0.9145 0.5829 0.7487  1 Sm 3.18, 5 Nd 3.19-3.20

# 4
The following is a DFT calculation (PBE-GGA) of a relaxed Pd5PtRh crystal.

Output
As for the crystal system: monoclinic. The value obtained for the total energy is -5.45 eV per atom.

Cell lengths 6.7666, 6.7666, 5.0788 Å; angles 101.09, 101.09, 88.80 degrees
Closest atoms and distances in Å follow each position.
Positions (direct):
Pd1 0.1505 0.5553 0.1845  3 Pd 2.51-2.74, 2 Pt 2.65-2.70, 1 Rh 2.70
Pd2 0.1675 0.3153 0.5837  2 Rh 2.70-2.76, 6 Pd 2.70-2.90, 2 Pt 2.74-2.89
Pd3 0.2296 0.7704 0.7500  1 Rh 2.67, 2 Pt 2.86, 4 Pd 2.89-2.91
Pd4 0.3153 0.1675 0.0837  2 Rh 2.70-2.76, 6 Pd 2.70-2.90, 2 Pt 2.74-2.89
Pd5 0.4447 0.8495 0.3155  3 Pd 2.51-2.74, 2 Pt 2.65-2.70, 1 Rh 2.70
Pd6 0.5553 0.1505 0.6845  3 Pd 2.51-2.74, 2 Pt 2.65-2.70, 1 Rh 2.70
Pd7 0.6847 0.8325 0.9163  2 Rh 2.70-2.76, 6 Pd 2.70-2.90, 2 Pt 2.74-2.89
Pd8 0.7704 0.2296 0.2500  1 Rh 2.67, 2 Pt 2.86, 4 Pd 2.89-2.91
Pd9 0.8325 0.6847 0.4163  2 Rh 2.70-2.76, 6 Pd 2.70-2.90, 2 Pt 2.74-2.89
Pd10 0.8495 0.4447 0.8155  3 Pd 2.51-2.74, 2 Pt 2.65-2.70, 1 Rh 2.70
Pt1 0.5000 0.5000 0.0000  2 Pt 2.54, 6 Pd 2.65-2.74
Pt2 0.5000 0.5000 0.5000  2 Pt 2.54, 6 Pd 2.65-2.74
Rh1 0.0519 0.9481 0.2500  7 Pd 2.67-2.76, 2 Rh 2.72
Rh2 0.9481 0.0519 0.7500  7 Pd 2.67-2.76, 2 Rh 2.72

# 5
The following is a DFT calculation (PBE-GGA) of a relaxed Sm4Zn5Ge6 crystal.

Output
As for the crystal system: orthorhombic. The value obtained for the total energy is -4.10 eV per atom.

Cell lengths 9.6550, 9.6550, 15.5673 Å; angles 90.00, 90.00, 154.25 degrees
Closest atoms and distances in Å follow each position.
Positions (direct):
Sm1 0.0202 0.9798 0.5000  7 Ge 3.08-3.21, 3 Zn 3.16-3.27
Sm2 0.0324 0.9676 0.7620  6 Ge 3.05-3.18, 5 Zn 3.07-3.16
Sm3 0.1689 0.8311 0.3033  6 Ge 3.00-3.08, 1 Zn 3.35
Sm4 0.1762 0.8238 0.9459  6 Ge 2.94-3.02
Sm5 0.8238 0.1762 0.4459  6 Ge 2.94-3.02
Sm6 0.8311 0.1689 0.8033  6 Ge 3.00-3.08, 1 Zn 3.35
Sm7 0.9676 0.0324 0.2620  6 Ge 3.05-3.18, 5 Zn 3.07-3.16
Sm8 0.9798 0.0202 0.0000  7 Ge 3.08-3.21, 3 Zn 3.16-3.27
Zn1 0.1513 0.8487 0.6273  4 Ge 2.52-2.66, 1 Zn 2.80
Zn2 0.3000 0.7000 0.6252  4 Ge 2.57-2.72, 2 Zn 2.68-2.80
Zn3 0.3453 0.6547 0.2749  4 Ge 2.53-2.78
Zn4 0.3501 0.6499 0.9802  4 Ge 2.53-2.79
Zn5 0.4337 0.5663 0.6846  4 Ge 2.54-2.67, 1 Zn 2.68
Zn6 0.5663 0.4337 0.1846  4 Ge 2.54-2.67, 1 Zn 2.68
Zn7 0.6499 0.3501 0.4802  4 Ge 2.53-2.79
Zn8 0.6547 0.3453 0.7749  4 Ge 2.53-2.78
Zn9 0.7000 0.3000 0.1252  4 Ge 2.57-2.72, 2 Zn 2.68-2.80
Zn10 0.8487 0.1513 0.1273  4 Ge 2.52-2.66, 1 Zn 2.80
Ge1 0.1118 0.8882 0.1183  4 Zn 2.54-2.72
Ge2 0.2205 0.7795 0.4885  4 Zn 2.52-2.60
Ge3 0.2253 0.7747 0.7637  4 Zn 2.53-2.57
Ge4 0.4320 0.5680 0.1300  5 Zn 2.66-2.79
Ge5 0.4319 0.5681 0.4065  1 Ge 2.54, 1 Zn 2.62
Ge6 0.4403 0.5597 0.8543  1 Ge 2.54, 2 Zn 2.59-2.64
Ge7 0.5597 0.4403 0.3543  1 Ge 2.54, 2 Zn 2.59-2.64
Ge8 0.5680 0.4320 0.6300  5 Zn 2.66-2.79
Ge9 0.5681 0.4319 0.9065  1 Ge 2.54, 1 Zn 2.62
Ge10 0.7747 0.2253 0.2637  4 Zn 2.53-2.57
Ge11 0.7795 0.2205 0.9885  4 Zn 2.52-2.60
Ge12 0.8882 0.1118 0.6183  4 Zn 2.54-2.72

# 6
The following is a DFT calculation (PBE-GGA) of a relaxed NaTeOsS2 crystal.

Output
As for the crystal system: tetragonal. The value obtained for the total energy is -3.30 eV per atom. The value obtained for the raw formation energy is 1.485 eV per atom.

Cell lengths 5.1492, 5.1492, 5.6026 Å; angles 90.00, 90.00, 90.00 degrees
Closest atoms and distances in Å follow each position.
Positions (direct):
Na1 0.0000 0.0000 0.0000  2 Te 2.80
Te1 0.0000 0.0000 0.5000  4 S 2.57, 2 Na 2.80
Os1 0.5000 0.5000 0.0000  4 Na 3.64, 8 S 3.80
S1 0.0000 0.5000 0.5000  2 Te 2.57
S2 0.5000 0.0000 0.5000  2 Te 2.57

- Which of these has the lowest total energy?
  Nd5SmSb6